(1)
VASP calculation (PBE) on Tl2InTc after structural relaxation.

Properties
- Excess energy over the best structure of this formula in the dataset: 0.172 eV/atom
- Raw total energy: -31.39 eV for the cell shown
- Energy relative to the elements: 0.54 eV/atom
- Space group: No. 122

a = 7.796 Å, b = 7.796 Å, c = 7.796 Å
α = 96.67°, β = 96.67°, γ = 140.14°
Fractional coordinates of all 8 atoms:
Tl  0.375  0.126  0.251
Tl  0.874  0.125  0.249
Tl  0.875  0.124  0.749
Tl  0.876  0.625  0.751
In  0.250  0.750  0.500
In  0.500  0.500  0.000
Tc  0.000  0.000  0.000
Tc  0.750  0.250  0.500

(2)
VASP calculation (PBE) on Tl2InTc after structural relaxation.

Properties
- Excess energy over the best structure of this formula in the dataset: 0.289 eV/atom
- Raw total energy: -15.23 eV for the cell shown
- Energy relative to the elements: 0.65 eV/atom
- Space group: No. 12

a = 6.179 Å, b = 6.179 Å, c = 3.273 Å
α = 105.31°, β = 105.31°, γ = 119.77°
Fractional coordinates of all 4 atoms:
Tl  0.000  0.500  0.000
Tl  0.500  0.000  0.000
In  0.000  0.000  0.500
Tc  0.500  0.500  0.500

(3)
VASP calculation (PBE) on TlIn2Tc after structural relaxation.

Properties
- Raw total energy: -16.56 eV for the cell shown
- Energy relative to the elements: 0.41 eV/atom
- Space group: No. 99

a = 3.142 Å, b = 3.142 Å, c = 9.277 Å
α = 90.00°, β = 90.00°, γ = 90.00°
Fractional coordinates of all 4 atoms:
Tl  0.000  0.000  0.000
In  0.000  0.000  0.585
In  0.500  0.500  0.301
Tc  0.500  0.500  0.782

(4)
VASP calculation (PBE) on Tl2InTc after structural relaxation.

Properties
- Excess energy over the best structure of this formula in the dataset: 0.001 eV/atom
- Raw total energy: -16.38 eV for the cell shown
- Energy relative to the elements: 0.37 eV/atom
- Space group: No. 71

a = 7.711 Å, b = 7.711 Å, c = 7.711 Å
α = 157.44°, β = 144.58°, γ = 42.41°
Fractional coordinates of all 4 atoms:
Tl  0.178  0.178  0.000
Tl  0.822  0.822  0.000
In  0.500  0.000  0.500
Tc  0.000  0.500  0.500

(5)
VASP calculation (PBE) on TlIn2Tc after structural relaxation.

Properties
- Raw total energy: -16.33 eV for the cell shown
- Energy relative to the elements: 0.47 eV/atom
- Space group: No. 139

a = 5.412 Å, b = 5.412 Å, c = 5.412 Å
α = 133.34°, β = 133.34°, γ = 68.13°
Fractional coordinates of all 4 atoms:
Tl  0.000  0.000  0.000
In  0.250  0.750  0.500
In  0.750  0.250  0.500
Tc  0.500  0.500  0.000

(6)
VASP calculation (PBE) on TlInTc2 after structural relaxation.

Properties
- Excess energy over the best structure of this formula in the dataset: 0.495 eV/atom
- Raw total energy: -23.07 eV for the cell shown
- Energy relative to the elements: 0.69 eV/atom
- Space group: No. 119

a = 5.081 Å, b = 5.081 Å, c = 5.081 Å
α = 131.48°, β = 131.48°, γ = 71.05°
Fractional coordinates of all 4 atoms:
Tl  0.000  0.000  0.000
In  0.250  0.750  0.500
Tc  0.500  0.500  0.000
Tc  0.750  0.250  0.500

(7)
VASP calculation (PBE) on TlIn2Tc2 after structural relaxation.

Properties
- Raw total energy: -53.71 eV for the cell shown
- Energy relative to the elements: 0.34 eV/atom
- Space group: No. 127

a = 6.930 Å, b = 6.930 Å, c = 4.218 Å
α = 90.00°, β = 90.00°, γ = 90.00°
Fractional coordinates of all 10 atoms:
Tl  0.000  0.000  0.000
Tl  0.500  0.500  0.000
In  0.167  0.333  0.500
In  0.333  0.833  0.500
In  0.667  0.167  0.500
In  0.833  0.667  0.500
Tc  0.124  0.624  0.000
Tc  0.376  0.124  0.000
Tc  0.624  0.876  0.000
Tc  0.876  0.376  0.000

(8)
VASP calculation (PBE) on TlInTcW2 after structural relaxation.

Properties
- Raw total energy: -31.50 eV for the cell shown
- Energy relative to the elements: 1.98 eV/atom
- Space group: No. 123

a = 4.812 Å, b = 4.812 Å, c = 6.854 Å
α = 90.00°, β = 90.00°, γ = 90.00°
Fractional coordinates of all 5 atoms:
Tl  0.000  0.000  0.000
In  0.500  0.500  0.000
Tc  0.000  0.000  0.500
W  0.000  0.500  0.500
W  0.500  0.000  0.500